Density functional theory data (PBE) for an optimized crystal structure of Ta3Te14Pd3.

Cell and atoms, written as POSCAR:
```
Ta3Te14Pd3
1.0
14.952 0.000 0.000
0.000 3.786 0.000
-6.136 0.000 20.430
Ta Te Pd
6 28 6
direct
0.052 0.250 0.308 Ta
0.304 0.750 0.045 Ta
0.425 0.250 0.653 Ta
0.575 0.750 0.347 Ta
0.696 0.250 0.955 Ta
0.948 0.750 0.692 Ta
0.050 0.750 0.207 Te
0.055 0.250 0.642 Te
0.112 0.250 0.451 Te
0.115 0.750 0.954 Te
0.142 0.750 0.777 Te
0.190 0.250 0.089 Te
0.202 0.750 0.343 Te
0.278 0.750 0.610 Te
0.318 0.250 0.948 Te
0.343 0.750 0.187 Te
0.383 0.250 0.766 Te
0.385 0.250 0.510 Te
0.440 0.250 0.349 Te
0.452 0.250 0.091 Te
0.548 0.750 0.909 Te
0.560 0.750 0.651 Te
0.615 0.750 0.490 Te
0.617 0.750 0.234 Te
0.657 0.250 0.813 Te
0.682 0.750 0.052 Te
0.722 0.250 0.390 Te
0.798 0.250 0.657 Te
0.810 0.750 0.911 Te
0.858 0.250 0.223 Te
0.885 0.250 0.046 Te
0.888 0.750 0.549 Te
0.945 0.750 0.358 Te
0.950 0.250 0.793 Te
0.133 0.250 0.867 Pd
0.249 0.750 0.479 Pd
0.482 0.250 0.230 Pd
0.518 0.750 0.770 Pd
0.751 0.250 0.521 Pd
0.867 0.750 0.133 Pd
```

Results
DOS(E_F) (states/eV per atom): 0.329
M_tot (μB/f.u.): 0.000
E_form (uncorrected) (eV/atom): -0.3353
Symmetry: P2_1/m (11)